Material: NaMg2SnHg4
Method: DFT, PBE
State: optimized geometry

Lattice parameters (Å, degrees): 5.0525 5.0525 9.0405 73.77 73.77 60.00
Fractional coordinates of all 8 atoms:
Na: 0.0000 0.0000 0.0000
Mg: 0.7505 0.7505 0.7484
Mg: 0.2495 0.2495 0.2516
Sn: 0.5000 0.5000 0.5000
Hg: 0.3712 0.3712 0.8865
Hg: 0.8806 0.8806 0.3583
Hg: 0.1194 0.1194 0.6417
Hg: 0.6288 0.6288 0.1135

The calculation puts the magnetization at 0.00 μB per cell. The energy relative to the elements is -0.14 eV per atom. As for the crystal system: trigonal. The space-group type is R-3m (166).